This record from Alexandria via LeMat-Bulk describes a geometry-optimized PrHoIr structure. The functional is GGA-PBE.

Cell: 6.9230 6.9230 6.9230 Å, 90.00 90.00 90.00°
With the nearest neighbours (Å) after each atom.
Space group F-43m (No. 216)
One atom of each set of equivalent atoms:
Pr (0.0000, 0.0000, 0.0000) [4 per cell]  4 Ir 3.00
Ho (0.0000, 0.0000, 0.5000) [4 per cell]  4 Ir 3.00
Ir (0.2500, 0.2500, 0.2500) [4 per cell]  4 Pr 3.00, 4 Ho 3.00

The calculation puts the total DFT energy (no corrections) at -79.8 eV for the cell shown. Its formation enthalpy at 0 K is -579.1 meV/atom. The calculation puts the total moment at 0.0 Bohr magnetons per cell. For the polymorph energy (0 for the lowest one), the calculation gives 0.09 eV/f.u.

---

This record from Alexandria via LeMat-Bulk describes a geometry-optimized GaPtWC2 structure. The functional is GGA-PBE.

Cell: 3.9504 3.9504 5.4366 Å, 90.00 90.00 90.00°
With the nearest neighbours (Å) after each atom.
Space group P4/mmm (No. 123)
One atom of each set of equivalent atoms:
Ga (0.0000, 0.0000, 0.0000) [1 per cell]  4 Pt 2.79
Pt (0.5000, 0.5000, 0.0000) [1 per cell]  2 W 2.72, 4 Ga 2.79
W (0.5000, 0.5000, 0.5000) [1 per cell]  4 C 1.98
C (0.0000, 0.5000, 0.5000) [2 per cell]  2 W 1.98

The calculation puts the total DFT energy (no corrections) at -34.0 eV for the cell shown. Its formation enthalpy at 0 K is 1296.2 meV/atom. The calculation puts the total moment at 0.0 Bohr magnetons per cell.

---

This record from Alexandria via LeMat-Bulk describes a geometry-optimized K4Pa3AuSe8 structure. The functional is GGA-PBE.

Cell: 14.6107 8.3675 9.1613 Å, 90.00 122.11 90.00°
With the nearest neighbours (Å) after each atom.
Space group C2/m (No. 12)
One atom of each set of equivalent atoms:
K (0.0000, 0.0000, 0.0000) [2 per cell]  6 Se 3.25-3.29
K (0.0000, 0.5000, 0.0000) [2 per cell]  6 Se 3.32-3.34
K (0.2500, 0.2500, 0.0000) [4 per cell]  6 Se 3.30-3.36
Pa (0.0000, 0.0000, 0.5000) [2 per cell]  6 Se 2.89-2.92
Pa (0.2500, 0.2500, 0.5000) [4 per cell]  6 Se 2.88-2.92
Au (0.0000, 0.5000, 0.5000) [2 per cell]  6 Se 2.95-3.01
Se (0.0166, 0.2450, 0.2935) [8 per cell]  2 Pa 2.89, 1 Au 2.95
Se (0.2360, 0.0000, 0.7095) [4 per cell]  3 Pa 2.92
Se (0.2428, 0.5000, 0.7097) [4 per cell]  2 Pa 2.88, 1 Au 3.01

The calculation puts the total DFT energy (no corrections) at -165.7 eV for the cell shown. The calculation puts the total moment at 8.0 Bohr magnetons per cell. For the uncorrected formation energy, the calculation gives -1175 meV per atom.

---

Q: Which value of total moment does entry 3 give?
A: 8.0 Bohr magnetons per cell